Run i
A geometry-optimized SrZn2H structure, computed with PBE-GGA.

It has space group Fm-3m (No. 225), with a = 7.1777 Å, b = 7.1777 Å, c = 7.1777 Å, α = 90.00°, β = 90.00° and γ = 90.00°. The inequivalent atoms are Sr at (0.0000, 0.0000, 0.0000), Zn at (0.2500, 0.2500, 0.2500) and H at (0.0000, 0.0000, 0.5000).

As for the size of the total moment: 0.00 Bohr magnetons per cell. Its crystal system is cubic.

***

Run ii
A geometry-optimized SrZn2H structure, computed with PBE-GGA.

It has space group Fd-3m (No. 227, origin choice 2), with a = 8.5201 Å, b = 8.5201 Å, c = 8.5201 Å, α = 90.00°, β = 90.00° and γ = 90.00°. The inequivalent atoms are Sr at (0.1250, 0.1250, 0.1250), Zn at (0.0000, 0.0000, 0.5000) and H at (0.1250, 0.1250, 0.6250).

As for the size of the total moment: 0.00 Bohr magnetons per cell. Its crystal system is cubic.

***

Sorted by energy, starting with the most stable: run ii, run i.

***

Run i
A geometry-optimized SrZrH2 structure, computed with PBE-GGA.

It has space group I-42d (No. 122), with a = 5.6434 Å, b = 5.6434 Å, c = 8.6252 Å, α = 90.00°, β = 90.00° and γ = 90.00°. The inequivalent atoms are Sr at (0.0000, 0.0000, 0.0000), Zr at (0.0000, 0.0000, 0.5000) and H at (0.1747, 0.2500, 0.6250).

As for the size of the total moment: 0.00 Bohr magnetons per cell. Its crystal system is tetragonal.

***

Run ii
A geometry-optimized SrZrH2 structure, computed with PBE-GGA.

It has space group Fm-3m (No. 225), with a = 6.3163 Å, b = 6.3163 Å, c = 6.3163 Å, α = 90.00°, β = 90.00° and γ = 90.00°. The inequivalent atoms are Sr at (0.0000, 0.0000, 0.0000), Zr at (0.0000, 0.0000, 0.5000) and H at (0.2500, 0.2500, 0.2500).

As for the size of the total moment: 0.00 Bohr magnetons per cell. Its crystal system is cubic.

***

Sorted by energy, starting with the most stable: run i, run ii.